The following is a GGA-PBE calculation of an optimized crystal structure of La3Pt2, from the Alexandria database.

Output
E above lowest polymorph, meV per atom: 0
VASP energy, eV per formula unit: -31.81
V, Å³ per cell: 420
ΔH_f (0 K), eV per atom: -0.99

The structure in CIF format:
```
data_La3Pt2
_chemical_formula_sum 'La9 Pt6'
_symmetry_space_group_name_H-M 'P 1'
_symmetry_Int_Tables_number 1
_cell_length_a 7.840
_cell_length_b 7.840
_cell_length_c 7.840
_cell_angle_alpha 71.41
_cell_angle_beta 71.41
_cell_angle_gamma 71.41
loop_
_symmetry_equiv_pos_as_xyz
'x,y,z'
loop_
_atom_site_label
_atom_site_type_symbol
_atom_site_fract_x
_atom_site_fract_y
_atom_site_fract_z
La1 La 0.000 0.000 0.000
La2 La 0.800 0.800 0.800
La3 La 0.200 0.200 0.200
La4 La 0.331 0.606 0.838
La5 La 0.838 0.331 0.606
La6 La 0.606 0.838 0.331
La7 La 0.669 0.394 0.162
La8 La 0.162 0.669 0.394
La9 La 0.394 0.162 0.669
Pt1 Pt 0.168 0.957 0.589
Pt2 Pt 0.589 0.168 0.957
Pt3 Pt 0.957 0.589 0.168
Pt4 Pt 0.832 0.043 0.411
Pt5 Pt 0.411 0.832 0.043
Pt6 Pt 0.043 0.411 0.832
```